# 1
Density functional theory data (meta-GGA SCAN) for K2SiO at its PBEsol-relaxed geometry.

Cell and atoms, written as POSCAR:
```
K2SiO
1.0
0.0000 3.6511 3.6511
3.6511 0.0000 3.6511
3.6511 3.6511 0.0000
K Si O
2 1 1
Cartesian
1.8255 1.8255 1.8255
5.4766 5.4766 5.4766
0.0000 0.0000 0.0000
3.6511 3.6511 3.6511
```

Computed properties:
Fermi-level density of states = 3.3 states/eV/cell
E_tot = -7.913 eV per atom

***

# 2
Density functional theory data (meta-GGA SCAN) for Ta2BeRe at its PBEsol-relaxed geometry.

Cell and atoms, written as POSCAR:
```
Ta2BeRe
1.0
1.5111 0.8724 7.6114
-1.5111 0.8724 7.6114
0.0000 -1.7449 7.6114
Ta Be Re
2 1 1
Cartesian
0.0000 0.0000 5.5314
0.0000 0.0000 17.3027
0.0000 0.0000 11.4170
0.0000 0.0000 0.0000
```

Computed properties:
Fermi-level density of states = 2.2 states/eV/cell
ΔE to the lowest computed polymorph = 0.255 eV/atom
ΔE_f = 0.160 eV/atom
E_tot = -51.995 eV per atom

***

Number 1: ρ 2.09 Mg/m³. Number 2: ρ 15.37 Mg/m³.